Entry 1:
! Tb2PmPrH, relaxed, DFT PBE; values from VASP
&SYSTEM
  ibrav = 0, nat = 5, ntyp = 4
/
ATOMIC_SPECIES
Tb 158.93 Tb.upf
Pm 145.00 Pm.upf
Pr 140.91 Pr.upf
H 1.01 H.upf
ATOMIC_POSITIONS crystal
Tb 0.000 0.000 0.500
Tb 0.000 0.500 0.000
Pm 0.500 0.000 0.000
Pr 0.500 0.500 0.500
H 0.000 0.000 0.000
CELL_PARAMETERS angstrom
-2.759 -3.490 -2.496
3.389 -3.577 1.255
-2.609 -0.979 4.253
! Volume, Å³/cell: 131.9
! E, eV per atom: -4.601
! Magnetic moment, μB/atom: 0.00

***

Entry 2:
! Pm4Pr2Tl3H2, relaxed, DFT PBE; values from VASP
&SYSTEM
  ibrav = 0, nat = 11, ntyp = 4
/
ATOMIC_SPECIES
Pm 145.00 Pm.upf
Pr 140.91 Pr.upf
Tl 204.38 Tl.upf
H 1.01 H.upf
ATOMIC_POSITIONS crystal
Pm 0.416 0.916 0.832
Pm 0.916 0.416 0.832
Pm 0.084 0.584 0.168
Pm 0.584 0.084 0.168
Pr 0.301 0.301 0.603
Pr 0.699 0.699 0.397
Tl 0.000 0.000 0.000
Tl 0.172 0.172 0.345
Tl 0.828 0.828 0.655
H 0.398 0.398 0.797
H 0.602 0.602 0.203
CELL_PARAMETERS angstrom
4.892 0.000 0.000
0.000 4.892 0.000
-2.446 -2.446 12.672
! Volume, Å³/cell: 303.3
! E, eV per atom: -4.156
! Magnetic moment, μB/atom: 0.00

***

Entry 3:
! PmPrTlH, relaxed, DFT PBE; values from VASP
&SYSTEM
  ibrav = 0, nat = 4, ntyp = 4
/
ATOMIC_SPECIES
Pm 145.00 Pm.upf
Pr 140.91 Pr.upf
Tl 204.38 Tl.upf
H 1.01 H.upf
ATOMIC_POSITIONS crystal
Pm 0.971 0.430 0.942
Pr 0.669 0.127 0.338
Tl 0.325 0.784 0.650
H 0.570 0.528 0.140
CELL_PARAMETERS angstrom
3.924 0.000 0.000
0.000 4.039 -0.008
-1.962 -2.009 6.201
! Volume, Å³/cell: 98.2
! E, eV per atom: -4.248
! Magnetic moment, μB/atom: 0.12

***

Entry 4:
! Pm2PrTlH, relaxed, DFT PBE; values from VASP
&SYSTEM
  ibrav = 0, nat = 5, ntyp = 4
/
ATOMIC_SPECIES
Pm 145.00 Pm.upf
Pr 140.91 Pr.upf
Tl 204.38 Tl.upf
H 1.01 H.upf
ATOMIC_POSITIONS crystal
Pm 0.000 0.000 0.500
Pm 0.000 0.500 0.000
Pr 0.500 0.000 0.000
Tl 0.500 0.500 0.500
H 0.000 0.000 0.000
CELL_PARAMETERS angstrom
4.981 0.000 0.000
0.000 5.024 0.000
0.000 0.000 5.024
! Volume, Å³/cell: 125.7
! E, eV per atom: -4.305
! Magnetic moment, μB/atom: 0.24

***

Entry 5:
! PmPr2TlH, relaxed, DFT PBE; values from VASP
&SYSTEM
  ibrav = 0, nat = 5, ntyp = 4
/
ATOMIC_SPECIES
Pm 145.00 Pm.upf
Pr 140.91 Pr.upf
Tl 204.38 Tl.upf
H 1.01 H.upf
ATOMIC_POSITIONS crystal
Pm 0.500 0.000 0.000
Pr 0.000 0.000 0.500
Pr 0.000 0.500 0.000
Tl 0.500 0.500 0.500
H 0.000 0.000 0.000
CELL_PARAMETERS angstrom
-3.588 2.108 2.888
-3.191 -0.124 -3.874
-1.542 -4.563 1.416
! Volume, Å³/cell: 127.7
! E, eV per atom: -4.309
! Magnetic moment, μB/atom: 0.24

***

Entry 6:
! Pm2PrTmH, relaxed, DFT PBE; values from VASP
&SYSTEM
  ibrav = 0, nat = 5, ntyp = 4
/
ATOMIC_SPECIES
Pm 145.00 Pm.upf
Pr 140.91 Pr.upf
Tm 168.93 Tm.upf
H 1.01 H.upf
ATOMIC_POSITIONS crystal
Pm 0.000 0.000 0.500
Pm 0.000 0.500 0.000
Pr 0.500 0.500 0.500
Tm 0.500 0.000 0.000
H 0.000 0.000 0.000
CELL_PARAMETERS angstrom
-1.069 3.356 -3.633
-3.155 -3.377 -2.191
-3.878 1.802 2.806
! Volume, Å³/cell: 132.4
! E, eV per atom: -4.593
! Magnetic moment, μB/atom: 0.00

***

Entry 7:
! Pm2PrYH, relaxed, DFT PBE; values from VASP
&SYSTEM
  ibrav = 0, nat = 5, ntyp = 4
/
ATOMIC_SPECIES
Pm 145.00 Pm.upf
Pr 140.91 Pr.upf
Y 88.91 Y.upf
H 1.01 H.upf
ATOMIC_POSITIONS crystal
Pm 0.000 0.000 0.500
Pm 0.000 0.500 0.000
Pr 0.500 0.500 0.500
Y 0.500 0.000 0.000
H 0.000 0.000 0.000
CELL_PARAMETERS angstrom
-3.930 2.987 -1.291
-1.955 -3.802 -2.847
-2.629 -1.698 4.073
! Volume, Å³/cell: 134.6
! E, eV per atom: -4.995
! Magnetic moment, μB/atom: 0.00

***

Entry 8:
! PmPr2YH, relaxed, DFT PBE; values from VASP
&SYSTEM
  ibrav = 0, nat = 5, ntyp = 4
/
ATOMIC_SPECIES
Pm 145.00 Pm.upf
Pr 140.91 Pr.upf
Y 88.91 Y.upf
H 1.01 H.upf
ATOMIC_POSITIONS crystal
Pm 0.500 0.500 0.500
Pr 0.000 0.000 0.500
Pr 0.000 0.500 0.000
Y 0.500 0.000 0.000
H 0.000 0.000 0.000
CELL_PARAMETERS angstrom
-3.766 2.838 -1.928
-3.050 -1.349 3.971
1.702 4.089 2.697
! Volume, Å³/cell: 137.0
! E, eV per atom: -4.998
! Magnetic moment, μB/atom: 0.00